(1)
Entry from the Alexandria database: a geometry-optimized Pm4Tl2PSe structure (PBE-GGA).

```
Pm4Tl2PSe
1.0
-3.486 1.326 -1.617
0.055 -5.428 -4.569
-4.129 -2.664 6.717
Pm P Se Tl
4 1 1 2
Direct
0.000 0.252 0.785
0.500 0.227 0.209
0.500 0.773 0.791
0.000 0.748 0.215
0.000 0.000 0.000
0.500 0.500 0.000
0.000 0.500 0.500
0.500 0.000 0.500
```

Computed properties:
**ΔE_f (raw)**: -1.036 eV/atom

(2)
Entry from the Alexandria database: a geometry-optimized Re2OsBr structure (PBE-GGA).

```
Re2OsBr
1.0
0.000 3.146 3.146
3.146 0.000 3.146
3.146 3.146 0.000
Os Br Re
1 1 2
Direct
0.500 0.500 0.500
0.000 0.000 0.000
0.250 0.250 0.250
0.750 0.750 0.750
```

Computed properties:
**Energy above the most stable polymorph in this dataset**: 527 meV per atom
**ΔE_f (raw)**: 1.232 eV/atom

(3)
Entry from the Alexandria database: a geometry-optimized LaMgCd17 structure (PBE-GGA).

```
LaMgCd17
1.0
7.660 0.114 1.031
0.916 7.606 1.031
0.126 0.114 7.728
Cd Mg La
17 1 1
Direct
0.698 0.004 0.298
0.606 0.606 0.222
0.298 0.698 0.004
0.606 0.222 0.606
0.349 0.886 0.349
0.914 0.914 0.914
0.222 0.606 0.606
0.298 0.004 0.698
0.533 0.970 0.970
0.970 0.970 0.533
0.004 0.698 0.298
0.698 0.298 0.004
0.004 0.298 0.698
0.970 0.533 0.970
0.109 0.109 0.109
0.886 0.349 0.349
0.349 0.349 0.886
0.321 0.321 0.321
0.665 0.665 0.665
```

Computed properties:
**ΔE_f**: -0.0718 eV per atom

(4)
Entry from the Alexandria database: a geometry-optimized In2GeW2 structure (PBE-GGA).

```
In2GeW2
1.0
-1.073 1.155 3.251
1.960 -2.598 1.570
7.112 4.515 2.752
W In Ge
2 2 1
Direct
0.750 0.250 0.500
0.250 0.750 0.500
0.392 0.392 0.215
0.608 0.608 0.785
0.000 0.000 0.000
```

Computed properties:
**Energy above the most stable polymorph in this dataset**: 355 meV per atom
**ΔE_f**: 0.7781 eV per atom

(5)
Entry from the Alexandria database: a geometry-optimized Al2AsPd8 structure (PBE-GGA).

```
Al2AsPd8
1.0
4.134 0.000 0.000
0.000 5.702 0.093
-2.067 -2.331 7.176
Pd As Al
8 1 2
Direct
0.026 0.768 0.052
0.340 0.039 0.680
0.793 0.698 0.586
0.598 0.449 0.195
0.660 0.961 0.320
0.207 0.302 0.414
0.402 0.551 0.805
0.974 0.232 0.948
0.500 0.000 0.000
0.184 0.710 0.368
0.816 0.290 0.632
```

Computed properties:
**Energy above the most stable polymorph in this dataset**: 0 meV per atom
**ΔE_f**: -0.5727 eV per atom

(6)
Entry from the Alexandria database: a geometry-optimized Tb4Pm2Er structure (PBE-GGA).

```
Tb4Pm2Er
1.0
-5.960 0.667 1.188
-0.778 -6.571 -0.215
4.845 -0.917 10.504
Er Pm Tb
2 4 8
Direct
0.854 0.250 0.842
0.146 0.750 0.158
0.399 0.250 0.006
0.288 0.250 0.428
0.712 0.750 0.572
0.601 0.750 0.994
0.649 0.993 0.288
0.978 0.250 0.145
0.351 0.493 0.712
0.022 0.750 0.855
0.150 0.750 0.444
0.649 0.507 0.288
0.850 0.250 0.556
0.351 0.007 0.712
```

Computed properties:
**Energy above the most stable polymorph in this dataset**: 0 meV per atom
**ΔE_f**: 0.1330 eV per atom

(7)
Entry from the Alexandria database: a geometry-optimized Li4Ga12Ag3 structure (PBE-GGA).

```
Li4Ga12Ag3
1.0
8.477 0.000 0.000
-2.826 7.992 0.000
-2.826 -3.996 6.921
Ga Li Ag
12 4 3
Direct
0.083 0.730 0.353
0.730 0.353 0.083
0.647 0.917 0.270
0.353 0.083 0.730
0.647 0.377 0.730
0.623 0.270 0.353
0.730 0.647 0.377
0.270 0.647 0.917
0.353 0.623 0.270
0.270 0.353 0.623
0.917 0.270 0.647
0.377 0.730 0.647
0.000 0.000 0.500
0.000 0.500 0.000
0.500 0.500 0.500
0.500 0.000 0.000
0.500 0.500 0.000
0.000 0.500 0.500
0.500 0.000 0.500
```

Computed properties:
**ΔE_f**: 0.1246 eV per atom

(8)
Entry from the Alexandria database: a geometry-optimized YMnRe2Pb structure (PBE-GGA).

```
YMnRe2Pb
1.0
-0.080 2.156 3.991
-2.633 -3.858 2.031
3.882 -2.031 1.175
Re Pb Y Mn
2 1 1 1
Direct
0.500 0.000 0.000
0.000 0.000 0.500
0.500 0.500 0.500
0.000 0.500 0.000
0.000 0.000 0.000
```

Computed properties:
**ΔE_f**: 0.9028 eV per atom

(9)
Entry from the Alexandria database: a geometry-optimized Dy6In2Ga structure (PBE-GGA).

```
Dy6In2Ga
1.0
5.103 0.000 -0.193
0.000 7.229 0.000
-2.262 -3.615 7.751
Ga In Dy
1 2 6
Direct
0.000 0.000 0.000
0.665 0.666 0.331
0.335 0.334 0.669
0.838 0.594 0.676
0.500 0.762 0.000
0.162 0.406 0.324
0.500 0.238 0.000
0.162 0.918 0.324
0.838 0.082 0.676
```

Computed properties:
**ΔE_f**: -0.1401 eV per atom

(10)
Entry from the Alexandria database: a geometry-optimized TaRe2As structure (PBE-GGA).

```
TaRe2As
1.0
-1.916 -2.741 -2.992
2.402 -3.282 -1.896
-0.809 -4.281 1.075
As Re Ta
1 2 1
Direct
0.500 0.500 0.500
0.250 0.250 0.250
0.000 0.000 0.000
0.750 0.750 0.750
```

Computed properties:
**ΔE_f**: 0.3474 eV per atom

(11)
Entry from the Alexandria database: a geometry-optimized PrDyAg structure (PBE-GGA).

```
PrDyAg
1.0
4.855 0.000 0.000
0.000 4.855 0.000
0.000 0.000 7.570
Pr Ag Dy
2 2 2
Direct
0.000 0.500 0.874
0.500 0.000 0.126
0.500 0.000 0.736
0.000 0.500 0.264
0.500 0.500 0.500
0.000 0.000 0.500
```

Computed properties:
**Energy above the most stable polymorph in this dataset**: 44 meV per atom
**ΔE_f**: -0.1235 eV per atom

(12)
Entry from the Alexandria database: a geometry-optimized TlReH2O structure (PBE-GGA).

```
TlReH2O
1.0
4.001 0.000 0.000
0.000 3.846 0.000
0.000 0.000 4.001
O Tl H Re
1 1 2 1
Direct
0.000 0.500 0.000
0.500 0.500 0.500
0.500 0.000 0.000
0.000 0.000 0.500
0.000 0.000 0.000
```

Computed properties:
**Total energy**: -26.4 eV/cell

(13)
Entry from the Alexandria database: a geometry-optimized CaHg2Br structure (PBE-GGA).

```
CaHg2Br
1.0
0.000 3.895 3.895
3.895 0.000 3.895
3.895 3.895 0.000
Ca Hg Br
1 2 1
Direct
0.000 0.000 0.000
0.250 0.250 0.250
0.750 0.750 0.750
0.500 0.500 0.500
```

Computed properties:
**Energy above the most stable polymorph in this dataset**: 298 meV per atom
**ΔE_f (raw)**: -0.448 eV/atom

(14)
Entry from the Alexandria database: a geometry-optimized In2BiBr structure (PBE-GGA).

```
In2BiBr
1.0
4.713 0.000 0.000
2.356 4.081 0.000
2.356 1.360 7.904
In Br Bi
2 1 1
Direct
0.246 0.246 0.261
0.061 0.061 0.816
0.509 0.509 0.474
0.684 0.684 0.948
```

Computed properties:
**Energy above the most stable polymorph in this dataset**: 61 meV per atom
**ΔE_f (raw)**: -0.161 eV/atom

(15)
Entry from the Alexandria database: a geometry-optimized TcMo14W structure (PBE-GGA).

```
TcMo14W
1.0
-3.951 3.441 1.557
1.317 -3.262 4.183
6.196 5.913 2.659
Mo W Tc
14 1 1
Direct
0.375 0.625 0.251
0.375 0.125 0.750
0.875 0.625 0.250
0.125 0.375 0.000
0.625 0.875 0.500
0.125 0.875 0.000
0.625 0.875 0.000
0.625 0.375 0.000
0.375 0.125 0.250
0.875 0.125 0.251
0.375 0.625 0.749
0.875 0.125 0.749
0.875 0.625 0.750
0.125 0.375 0.500
0.625 0.375 0.500
0.125 0.875 0.500
```

Computed properties:
**ΔE_f**: 0.0060 eV per atom

(16)
Entry from the Alexandria database: a geometry-optimized K3NaW2S8 structure (PBE-GGA).

```
K3NaW2S8
1.0
-1.305 -7.025 -1.435
2.682 4.344 -5.201
8.619 -2.143 2.654
S K Na W
8 3 1 2
Direct
0.337 0.169 0.698
0.667 0.333 0.015
0.333 0.667 0.985
0.831 0.169 0.698
0.169 0.337 0.302
0.169 0.831 0.302
0.663 0.831 0.302
0.831 0.663 0.698
0.667 0.333 0.359
0.000 0.000 0.000
0.333 0.667 0.641
0.000 0.000 0.500
0.333 0.667 0.220
0.667 0.333 0.780
```

Computed properties:
**ΔE_f (raw)**: -0.917 eV/atom

(17)
Entry from the Alexandria database: a geometry-optimized CoCuAu2 structure (PBE-GGA).

```
CoCuAu2
1.0
-3.432 -4.015 1.036
0.630 -2.994 4.429
-0.935 4.777 -2.299
Au Co Cu
2 1 1
Direct
0.736 0.236 0.500
0.013 0.013 0.000
0.487 0.487 0.000
0.263 0.763 0.500
```

Computed properties:
**ΔE_f**: 0.1866 eV per atom

(18)
Entry from the Alexandria database: a geometry-optimized SmMg9Zn2 structure (PBE-GGA).

```
SmMg9Zn2
1.0
1.259 -3.076 6.779
6.863 -6.154 0.137
6.100 4.601 5.159
Zn Mg Sm
4 18 2
Direct
0.875 0.750 0.250
0.375 0.750 0.750
0.875 0.250 0.250
0.875 0.250 0.750
0.608 0.076 0.320
0.750 0.500 0.500
0.000 0.000 0.000
0.072 0.320 0.924
0.746 0.576 0.820
0.608 0.320 0.076
0.142 0.424 0.180
0.004 0.680 0.924
0.004 0.924 0.680
0.434 0.820 0.424
0.434 0.424 0.820
0.746 0.820 0.576
0.072 0.924 0.320
0.142 0.180 0.424
0.678 0.180 0.576
0.316 0.680 0.076
0.678 0.576 0.180
0.316 0.076 0.680
0.250 0.500 0.500
0.500 0.000 0.000
```

Computed properties:
**ΔE_f**: -0.0666 eV per atom

(19)
Entry from the Alexandria database: a geometry-optimized YErCo2 structure (PBE-GGA).

```
YErCo2
1.0
-1.740 -2.994 1.706
-0.066 -2.700 -4.806
6.677 -2.979 1.582
Y Co Er
2 4 2
Direct
0.000 0.134 0.677
0.000 0.866 0.177
0.000 0.354 0.028
0.500 0.158 0.974
0.500 0.842 0.474
0.000 0.646 0.528
0.500 0.634 0.821
0.500 0.366 0.321
```

Computed properties:
**Energy above the most stable polymorph in this dataset**: 0 meV per atom
**ΔE_f**: -0.2175 eV per atom

(20)
Entry from the Alexandria database: a geometry-optimized Sr3Zn7Ir2 structure (PBE-GGA).

```
Sr3Zn7Ir2
1.0
-3.028 -3.755 -0.649
1.432 -1.889 4.250
-8.430 9.234 4.158
Zn Sr Ir
7 3 2
Direct
0.193 0.193 0.386
0.909 0.409 0.818
0.591 0.091 0.182
0.409 0.909 0.818
0.091 0.591 0.182
0.807 0.807 0.614
0.000 0.000 0.000
0.500 0.500 0.000
0.679 0.679 0.357
0.321 0.321 0.643
0.904 0.904 0.807
0.096 0.096 0.193
```

Computed properties:
**ΔE_f**: -0.2243 eV per atom

Here are the calculated magnetization numbers, same order: 0.00 0.00 0.00 0.00 0.00 0.00 0.00 0.00 0.00 0.00 0.00 0.00 0.00 0.00 0.00 0.00 0.43 0.00 0.07 0.00 (μB per atom).